The following is a GGA-PBE calculation of a relaxed Si3RuC crystal, from Alexandria via LeMat-Bulk.

Cell lengths 4.5505, 4.5505, 4.5505 Å; angles 90.00, 90.00, 90.00 degrees
Space group Pm-3m (No. 221)
Asymmetric unit:
Si 0.0000 0.0000 0.5000 [3 per cell]
Ru 0.0000 0.0000 0.0000 [1 per cell]
C 0.5000 0.5000 0.5000 [1 per cell]

The formation energy from raw total energies is 1.463 eV per atom. As for the total energy: -5.49 eV/atom. As for the total magnetization: 1.94 μB/cell. The polymorph energy (0 for the lowest one) comes out at 740 meV/atom.

The following is a GGA-PBE calculation of a relaxed SiRu2C crystal, from Alexandria via LeMat-Bulk.

Cell lengths 5.6725, 5.6725, 5.6725 Å; angles 90.00, 90.00, 90.00 degrees
Space group Fm-3m (No. 225)
Asymmetric unit:
Si 0.0000 0.0000 0.0000 [4 per cell]
Ru 0.2500 0.2500 0.2500 [8 per cell]
C 0.0000 0.0000 0.5000 [4 per cell]

The formation energy from raw total energies is 0.539 eV per atom. As for the total energy: -7.76 eV/atom. As for the total magnetization: 0.00 μB/cell. The polymorph energy (0 for the lowest one) comes out at 233 meV/atom.

The following is a GGA-PBE calculation of a relaxed SiRu3C crystal, from Alexandria via LeMat-Bulk.

Cell lengths 3.9949, 3.9949, 3.9949 Å; angles 90.00, 90.00, 90.00 degrees
Space group Pm-3m (No. 221)
Asymmetric unit:
Si 0.0000 0.0000 0.0000 [1 per cell]
Ru 0.0000 0.5000 0.5000 [3 per cell]
C 0.5000 0.5000 0.5000 [1 per cell]

The formation energy from raw total energies is 0.120 eV per atom. As for the total energy: -8.37 eV/atom. As for the total magnetization: 0.00 μB/cell. The polymorph energy (0 for the lowest one) comes out at 0 meV/atom.

The following is a GGA-PBE calculation of a relaxed Si2RuC crystal, from Alexandria via LeMat-Bulk.

Cell lengths 5.7792, 5.7792, 5.7792 Å; angles 90.00, 90.00, 90.00 degrees
Space group Fm-3m (No. 225)
Asymmetric unit:
Si 0.2500 0.2500 0.2500 [8 per cell]
Ru 0.0000 0.0000 0.0000 [4 per cell]
C 0.0000 0.0000 0.5000 [4 per cell]

The formation energy from raw total energies is 1.054 eV per atom. As for the total energy: -6.28 eV/atom. As for the total magnetization: 0.00 μB/cell. The polymorph energy (0 for the lowest one) comes out at 744 meV/atom.